Material: Ac4SbTeAs2
Method: DFT, PBE-GGA
State: optimized geometry

Cell: 6.603 6.603 8.066 Å, 114.16 114.16 90.00°
Fractional positions:
Sb 0.500 0.500 0.000
Ac 0.011 0.511 0.023
Ac 0.758 0.758 0.516
As 0.250 0.750 0.500
As 0.000 0.000 0.000
Ac 0.489 0.989 0.977
Ac 0.242 0.242 0.484
Te 0.750 0.250 0.500

## Properties
Calculated volume in Å³/atom: 35.85
ΔE_f (raw) in eV/atom: -1.438
Size of the total moment in μB per formula unit: 0.00
ρ in kg/m3: 7568

Material: Ac4Sb2TeAs
Method: DFT, PBE-GGA
State: optimized geometry

Cell: 4.720 8.204 8.156 Å, 109.40 90.00 90.00°
Fractional positions:
Sb 0.500 0.000 0.500
Ac 0.500 0.739 0.750
Sb 0.000 0.500 0.500
Ac 0.000 0.738 0.243
As 0.500 0.500 0.000
Ac 0.000 0.262 0.757
Te 0.000 0.000 0.000
Ac 0.500 0.261 0.250

## Properties
Calculated volume in Å³/atom: 37.24
ΔE_f (raw) in eV/atom: -1.381
Size of the total moment in μB per formula unit: 0.00
ρ in kg/m3: 7548

Material: Ac6SbTe3As2
Method: DFT, PBE-GGA
State: optimized geometry

Cell: 8.073 8.073 8.194 Å, 99.48 99.48 119.91°
Fractional positions:
As 0.667 0.333 0.000
Ac 0.923 0.579 0.771
Te 0.163 0.837 0.500
As 0.333 0.667 0.000
Ac 0.579 0.923 0.771
Ac 0.269 0.269 0.773
Ac 0.421 0.077 0.229
Ac 0.077 0.421 0.229
Te 0.500 0.500 0.500
Te 0.837 0.163 0.500
Sb 0.000 0.000 0.000
Ac 0.731 0.731 0.227

## Properties
Calculated volume in Å³/atom: 36.43
ΔE_f (raw) in eV/atom: -1.501
Size of the total moment in μB per formula unit: 0.00
ρ in kg/m3: 7660

Material: Ac6Sb2TeAs3
Method: DFT, PBE-GGA
State: optimized geometry

Cell: 4.648 9.362 10.442 Å, 103.45 102.86 90.00°
Fractional positions:
Ac 0.996 0.264 0.993
Sb 0.165 0.331 0.331
Ac 0.004 0.736 0.007
Ac 0.328 0.924 0.656
Ac 0.664 0.590 0.328
As 0.500 0.500 0.000
Ac 0.336 0.410 0.672
As 0.166 0.834 0.331
Sb 0.835 0.669 0.669
As 0.834 0.166 0.669
Ac 0.672 0.076 0.344
Te 0.500 0.000 0.000

## Properties
Calculated volume in Å³/atom: 35.85
ΔE_f (raw) in eV/atom: -1.429
Size of the total moment in μB per formula unit: 0.00
ρ in kg/m3: 7557

Material: AcThSbAs
Method: DFT, PBE-GGA
State: optimized geometry

Cell: 5.199 5.199 12.180 Å, 77.68 77.68 60.00°
Site moments in Bohr magnetons follow the coordinates.
Fractional positions:
Th 0.378 0.378 0.867  0.04
As 0.297 0.297 0.110  0.00
Th 0.622 0.622 0.133  0.04
Sb 0.903 0.903 0.291  0.00
As 0.703 0.703 0.890  0.00
Sb 0.097 0.097 0.709  0.00
Ac 0.204 0.204 0.387  0.09
Ac 0.796 0.796 0.613  0.09

## Properties
Calculated volume in Å³/atom: 34.54
ΔE_f (raw) in eV/atom: -0.861
Size of the total moment in μB per formula unit: 0.44
ρ in kg/m3: 7880

Material: AcTlSbAs
Method: DFT, PBE-GGA
State: optimized geometry

Cell: 5.472 5.472 5.472 Å, 60.00 60.00 60.00°
Fractional positions:
Ac 0.750 0.750 0.750
As 0.500 0.500 0.500
Sb 0.250 0.250 0.250
Tl 0.000 0.000 0.000

## Properties
Calculated volume in Å³/atom: 28.96
ΔE_f (raw) in eV/atom: -0.336
Size of the total moment in μB per formula unit: 0.00
ρ in kg/m3: 9003

Question: The lowest calculated volume belongs to which entry?
Answer: AcTlSbAs

Question: The lowest calculated volume belongs to which entry?
Answer: AcTlSbAs

Question: Which of these has the lowest ρ?
Answer: Ac4Sb2TeAs

Copy entry 2 word for word.
Material: Ac4Sb2TeAs
Method: DFT, PBE-GGA
State: optimized geometry

Cell: 4.720 8.204 8.156 Å, 109.40 90.00 90.00°
Fractional positions:
Sb 0.500 0.000 0.500
Ac 0.500 0.739 0.750
Sb 0.000 0.500 0.500
Ac 0.000 0.738 0.243
As 0.500 0.500 0.000
Ac 0.000 0.262 0.757
Te 0.000 0.000 0.000
Ac 0.500 0.261 0.250

## Properties
Calculated volume in Å³/atom: 37.24
ΔE_f (raw) in eV/atom: -1.381
Size of the total moment in μB per formula unit: 0.00
ρ in kg/m3: 7548